No. 1
A geometry-optimized Fe2Ir3 structure, computed with PBE-GGA.

CIF file:
```
data_Fe2Ir3
_chemical_formula_sum 'Fe2 Ir3'
_symmetry_space_group_name_H-M 'P 1'
_symmetry_Int_Tables_number 1
_symmetry_space_group_name_Hall 'P 1'
_cell_length_a 4.358
_cell_length_b 4.358
_cell_length_c 4.358
_cell_angle_alpha 95.31
_cell_angle_beta 95.31
_cell_angle_gamma 95.31
loop_
_atom_site_label
_atom_site_type_symbol
_atom_site_fract_x
_atom_site_fract_y
_atom_site_fract_z
Fe1 Fe 0.180 0.180 0.180
Fe2 Fe 0.820 0.820 0.820
Ir1 Ir 0.264 0.500 0.736
Ir2 Ir 0.500 0.736 0.264
Ir3 Ir 0.736 0.264 0.500
```

Summary:
The formation enthalpy at 0 K is 592 meV per atom. For the density of states at the Fermi level, the calculation gives 5.67 states/eV per cell. The space group is R32 (155).

---

No. 2
A geometry-optimized KFeIr structure, computed with PBE-GGA.

CIF file:
```
data_KFeIr
_chemical_formula_sum 'K1 Fe1 Ir1'
_symmetry_space_group_name_H-M 'P 1'
_symmetry_Int_Tables_number 1
_symmetry_space_group_name_Hall 'P 1'
_cell_length_a 6.412
_cell_length_b 6.412
_cell_length_c 6.412
_cell_angle_alpha 155.39
_cell_angle_beta 143.43
_cell_angle_gamma 44.58
loop_
_atom_site_label
_atom_site_type_symbol
_atom_site_fract_x
_atom_site_fract_y
_atom_site_fract_z
K1 K 0.000 0.000 0.000
Fe1 Fe 0.731 0.731 0.000
Ir1 Ir 0.277 0.277 0.000
```

Summary:
The formation enthalpy at 0 K is 515 meV per atom. For the density of states at the Fermi level, the calculation gives 4.36 states/eV per cell. The space group is Imm2 (44).

---

No. 3
A geometry-optimized K2FeIr structure, computed with PBE-GGA.

CIF file:
```
data_K2FeIr
_chemical_formula_sum 'K2 Fe1 Ir1'
_symmetry_space_group_name_H-M 'P 1'
_symmetry_Int_Tables_number 1
_symmetry_space_group_name_Hall 'P 1'
_cell_length_a 2.809
_cell_length_b 2.809
_cell_length_c 11.168
_cell_angle_alpha 90.00
_cell_angle_beta 90.00
_cell_angle_gamma 90.14
loop_
_atom_site_label
_atom_site_type_symbol
_atom_site_fract_x
_atom_site_fract_y
_atom_site_fract_z
K1 K 0.000 0.000 0.234
K2 K 0.000 0.000 0.766
Fe1 Fe 0.500 0.500 0.500
Ir1 Ir 0.500 0.500 0.000
```

Summary:
The formation enthalpy at 0 K is 1132 meV per atom. For the density of states at the Fermi level, the calculation gives 5.60 states/eV per cell. The space group is Cmmm (65).

---

No. 4
A geometry-optimized K2FeIr structure, computed with PBE-GGA.

CIF file:
```
data_K2FeIr
_chemical_formula_sum 'K2 Fe1 Ir1'
_symmetry_space_group_name_H-M 'P 1'
_symmetry_Int_Tables_number 1
_symmetry_space_group_name_Hall 'P 1'
_cell_length_a 3.981
_cell_length_b 3.981
_cell_length_c 5.416
_cell_angle_alpha 90.00
_cell_angle_beta 90.00
_cell_angle_gamma 90.00
loop_
_atom_site_label
_atom_site_type_symbol
_atom_site_fract_x
_atom_site_fract_y
_atom_site_fract_z
K1 K 0.000 0.500 0.000
K2 K 0.500 0.000 0.000
Fe1 Fe 0.000 0.000 0.500
Ir1 Ir 0.500 0.500 0.500
```

Summary:
The formation enthalpy at 0 K is 1028 meV per atom. For the density of states at the Fermi level, the calculation gives 2.98 states/eV per cell. The space group is P4/mmm (123).

---

No. 5
A geometry-optimized K2FeIr structure, computed with PBE-GGA.

CIF file:
```
data_K2FeIr
_chemical_formula_sum 'K2 Fe1 Ir1'
_symmetry_space_group_name_H-M 'P 1'
_symmetry_Int_Tables_number 1
_symmetry_space_group_name_Hall 'P 1'
_cell_length_a 6.154
_cell_length_b 6.154
_cell_length_c 2.786
_cell_angle_alpha 90.00
_cell_angle_beta 90.00
_cell_angle_gamma 125.56
loop_
_atom_site_label
_atom_site_type_symbol
_atom_site_fract_x
_atom_site_fract_y
_atom_site_fract_z
K1 K 0.000 0.500 0.000
K2 K 0.500 0.000 0.000
Fe1 Fe 0.000 0.000 0.500
Ir1 Ir 0.500 0.500 0.500
```

Summary:
The formation enthalpy at 0 K is 1078 meV per atom. For the density of states at the Fermi level, the calculation gives 3.54 states/eV per cell. The space group is Cmmm (65).

---

No. 6
A geometry-optimized KFeIr structure, computed with PBE-GGA.

CIF file:
```
data_KFeIr
_chemical_formula_sum 'K2 Fe2 Ir2'
_symmetry_space_group_name_H-M 'P 1'
_symmetry_Int_Tables_number 1
_symmetry_space_group_name_Hall 'P 1'
_cell_length_a 6.531
_cell_length_b 6.531
_cell_length_c 4.927
_cell_angle_alpha 90.00
_cell_angle_beta 90.00
_cell_angle_gamma 140.45
loop_
_atom_site_label
_atom_site_type_symbol
_atom_site_fract_x
_atom_site_fract_y
_atom_site_fract_z
K1 K 0.232 0.768 0.750
K2 K 0.768 0.232 0.250
Fe1 Fe 0.500 0.500 0.000
Fe2 Fe 0.500 0.500 0.500
Ir1 Ir 0.027 0.973 0.250
Ir2 Ir 0.973 0.027 0.750
```

Summary:
The formation enthalpy at 0 K is 347 meV per atom. For the density of states at the Fermi level, the calculation gives 4.61 states/eV per cell. The space group is Cmcm (63).

---

No. 7
A geometry-optimized KFeIr structure, computed with PBE-GGA.

CIF file:
```
data_KFeIr
_chemical_formula_sum 'K2 Fe2 Ir2'
_symmetry_space_group_name_H-M 'P 1'
_symmetry_Int_Tables_number 1
_symmetry_space_group_name_Hall 'P 1'
_cell_length_a 3.910
_cell_length_b 3.910
_cell_length_c 11.099
_cell_angle_alpha 90.00
_cell_angle_beta 90.00
_cell_angle_gamma 120.00
loop_
_atom_site_label
_atom_site_type_symbol
_atom_site_fract_x
_atom_site_fract_y
_atom_site_fract_z
K1 K 0.000 0.000 0.000
K2 K 0.000 0.000 0.500
Fe1 Fe 0.333 0.667 0.250
Fe2 Fe 0.667 0.333 0.750
Ir1 Ir 0.333 0.667 0.750
Ir2 Ir 0.667 0.333 0.250
```

Summary:
The formation enthalpy at 0 K is 759 meV per atom. For the density of states at the Fermi level, the calculation gives 7.57 states/eV per cell. The space group is P6_3/mmc (194).

---

No. 8
A geometry-optimized KFeIr structure, computed with PBE-GGA.

CIF file:
```
data_KFeIr
_chemical_formula_sum 'K2 Fe2 Ir2'
_symmetry_space_group_name_H-M 'P 1'
_symmetry_Int_Tables_number 1
_symmetry_space_group_name_Hall 'P 1'
_cell_length_a 4.931
_cell_length_b 4.233
_cell_length_c 6.498
_cell_angle_alpha 90.00
_cell_angle_beta 112.06
_cell_angle_gamma 90.00
loop_
_atom_site_label
_atom_site_type_symbol
_atom_site_fract_x
_atom_site_fract_y
_atom_site_fract_z
K1 K 0.000 0.000 0.000
K2 K 0.474 0.500 0.002
Fe1 Fe 0.078 0.500 0.471
Fe2 Fe 0.609 0.500 0.532
Ir1 Ir 0.344 0.000 0.551
Ir2 Ir 0.795 0.000 0.451
```

Summary:
The formation enthalpy at 0 K is 537 meV per atom. For the density of states at the Fermi level, the calculation gives 6.58 states/eV per cell. The space group is Pm (6).

---

Number 1: E -8.110 eV per atom. Number 2: E -5.626 eV per atom. Number 3: E -3.747 eV per atom. Number 4: E -3.852 eV per atom. Number 5: E -3.801 eV per atom. Number 6: E -5.793 eV per atom. Number 7: E -5.382 eV per atom. Number 8: E -5.603 eV per atom.